1.
11
Lattice="6.6932 0.0000 0.0000 -3.3466 5.7965 0.0000 0.0000 0.0000 4.9602" Properties=species:S:1:pos:R:3 comment="Ce3B3Ru5 PBE optimized geometry" e_tot_ev_per_atom=-7.811 magmom_total_mub_per_cell=1.01 pbc="T T T"
Ce -1.1087 1.9204 0.0000
Ce 2.2175 0.0000 0.0000
Ce 2.2379 3.8761 0.0000
B -1.3049 2.2601 2.4801
B 2.6098 0.0000 2.4801
B 2.0417 3.5363 2.4801
Ru -2.5816 4.4714 2.4801
Ru 0.7650 1.3251 2.4801
Ru 0.0000 3.8643 2.4801
Ru 3.3466 1.9322 2.4801
Ru 5.1631 0.0000 2.4801


2.
16
Lattice="5.9446 0.0000 0.0000 0.0000 5.3810 0.0000 0.0000 0.0000 6.4493" Properties=species:S:1:pos:R:3 comment="CeB2Ru PBE optimized geometry" relative_energy_mev_per_atom=0 e_tot_ev_per_atom=-7.726 magmom_total_mub_per_cell=0.00 pbc="T T T"
Ce 0.0044 1.3453 0.9943
Ce 2.9679 4.0358 4.2189
Ce 2.9767 1.3453 2.2304
Ce 5.9402 4.0358 5.4550
B 0.7280 0.4807 3.4700
B 0.7280 2.2098 3.4700
B 2.2443 3.1712 0.2453
B 2.2443 4.9003 0.2453
B 3.7003 0.4807 6.2039
B 3.7003 2.2098 6.2039
B 5.2166 3.1712 2.9793
B 5.2166 4.9003 2.9793
Ru 1.1390 4.0358 2.0478
Ru 1.8334 1.3453 5.2724
Ru 4.1113 4.0358 1.1769
Ru 4.8057 1.3453 4.4015